No. 1
LaPrCo: optimized geometry, PBE-GGA.

**SG**: No. 156
**Polymorph energy (0 for the lowest one)**: 0.045 eV/atom

a b c (Å): 4.0464 4.0464 6.4778
angles (deg): 90.00 90.00 120.00
With the nearest neighbours (Å) after each atom.
Element x y z (fractional)
La 0.3333 0.6667 0.5592  3 Co 2.74
Pr 0.0000 0.0000 0.1016  3 Co 2.80
Co 0.6667 0.3333 0.3392  3 La 2.74, 3 Pr 2.80



No. 2
SiSeBr: optimized geometry, PBE-GGA.

**SG**: No. 1
**Polymorph energy (0 for the lowest one)**: 0.194 eV/atom

a b c (Å): 3.6303 7.1905 8.1774
angles (deg): 99.27 102.75 90.53
With the nearest neighbours (Å) after each atom.
Element x y z (fractional)
Si 0.1058 0.6966 0.2024  1 Br 2.25, 3 Se 2.27-2.34
Si 0.9864 0.2357 0.9782  1 Se 2.37, 2 Br 2.53-2.62
Br 0.3925 0.1218 0.7562  2 Si 2.53-2.62
Br 0.2016 0.4869 0.3820  1 Si 2.25
Se 0.6404 0.9017 0.2623  2 Si 2.33-2.34
Se 0.9316 0.5502 0.9277  2 Si 2.27-2.37



No. 3
Li2TeAu: optimized geometry, PBE-GGA.

**SG**: No. 225
**Polymorph energy (0 for the lowest one)**: 0.000 eV/atom

a b c (Å): 4.7288 4.7288 4.7288
angles (deg): 60.00 60.00 60.00
With the nearest neighbours (Å) after each atom.
Element x y z (fractional)
Te 0.0000 0.0000 0.0000  8 Li 2.90
Li 0.7500 0.7500 0.7500  4 Au 2.90, 4 Te 2.90
Li 0.2500 0.2500 0.2500  4 Au 2.90, 4 Te 2.90
Au 0.5000 0.5000 0.5000  8 Li 2.90